Record 1
# Sb2IO PBE relaxed
# Total magnetic moment (μB/cell): 0.00
# Volume (Å³/cell): 237.7
# Space group: I-42d
# Formation energy without anion corrections (meV per atom): -123
# Distance to the lowest polymorph of the same formula (eV/atom): 0.000
data_Sb2IO
_chemical_formula_sum 'Sb4 I2 O2'
_cell_length_a 8.247
_cell_length_b 8.247
_cell_length_c 8.247
_cell_angle_alpha 139.15
_cell_angle_beta 139.15
_cell_angle_gamma 59.15
_space_group_name_H-M_alt 'P 1'
_space_group_IT_number 1
loop_
_space_group_symop_operation_xyz
'x,y,z'
loop_
_atom_site_label
_atom_site_fract_x
_atom_site_fract_y
_atom_site_fract_z
Sb1 0.375 0.199 0.324
Sb2 0.801 0.125 0.176
Sb3 0.875 0.051 0.676
Sb4 0.949 0.625 0.824
I1 0.250 0.750 0.500
I2 0.500 0.500 0.000
O1 0.000 0.000 0.000
O2 0.750 0.250 0.500

Record 2
# SbIO PBE relaxed
# Total magnetic moment (μB/cell): 0.00
# Volume (Å³/cell): 96.9
# Space group: Fmm2
# Formation energy without anion corrections (meV per atom): -338
data_SbIO
_chemical_formula_sum 'Sb1 I1 O1'
_cell_length_a 8.975
_cell_length_b 8.303
_cell_length_c 4.076
_cell_angle_alpha 85.76
_cell_angle_beta 67.32
_cell_angle_gamma 26.93
_space_group_name_H-M_alt 'P 1'
_space_group_IT_number 1
loop_
_space_group_symop_operation_xyz
'x,y,z'
loop_
_atom_site_label
_atom_site_fract_x
_atom_site_fract_y
_atom_site_fract_z
Sb1 0.000 0.000 0.000
I1 0.689 0.689 0.311
O1 0.422 0.422 0.578

Question: Which formula does entry 2 have?
Answer: SbIO

Question: Look up the formation energy without anion corrections of the first one.
Answer: -123 meV per atom